Here is Rb2CoCl4 after structural relaxation from the Open Quantum Materials Database. Energies are from PBE.

abc: 7.007 7.184 9.345
angles: 90.00 109.29 90.00
Space group P2_1/m (No. 11)
Inequivalent atoms, fractional coordinates:
Rb (0.199, 0.250, 0.418) (multiplicity 2)
Rb (0.296, 0.250, 0.963) (multiplicity 2)
Co (0.295, 0.750, 0.214) (multiplicity 2)
Cl (0.084, 0.750, 0.351) (multiplicity 2)
Cl (0.140, 0.750, 0.960) (multiplicity 2)
Cl (0.496, 0.002, 0.726) (multiplicity 4)

Output
magnetization	5.997	μB per cell
electronic total energy	-3.750	eV per atom


Here is TmPa after structural relaxation from the Open Quantum Materials Database. Energies are from PBE.

abc: 3.2825 3.2825 5.7316
angles: 90.00 90.00 120.00
Space group P-6m2 (No. 187)
Inequivalent atoms, fractional coordinates:
Tm (0.0000, 0.0000, 0.0000) (multiplicity 1)
Pa (0.3333, 0.6667, 0.5000) (multiplicity 1)

Output
magnetization	0.024	μB per cell
ΔH_f (0 K)	151	meV/atom


Here is TaNbMo6 after structural relaxation from the Open Quantum Materials Database. Energies are from PBE.

abc: 4.518 4.518 6.388
angles: 90.00 90.00 90.00
Space group P4/mmm (No. 123)
Inequivalent atoms, fractional coordinates:
Ta (0.000, 0.000, 0.000) (multiplicity 1)
Nb (0.500, 0.500, 0.500) (multiplicity 1)
Mo (0.000, 0.000, 0.500) (multiplicity 1)
Mo (0.000, 0.500, 0.250) (multiplicity 4)
Mo (0.500, 0.500, 0.000) (multiplicity 1)

Output
magnetization	0.020	μB per cell
ΔH_f (0 K)	-100	meV/atom


Here is HoInCu after structural relaxation from the Open Quantum Materials Database. Energies are from PBE.

abc: 8.2541 8.2541 3.3341
angles: 90.00 90.00 120.00
Space group P-62m (No. 189)
Inequivalent atoms, fractional coordinates:
Ho (0.0000, 0.2996, 0.0000) (multiplicity 3)
In (0.0000, 0.0000, 0.5000) (multiplicity 1)
In (0.3333, 0.6667, 0.0000) (multiplicity 2)
Cu (0.0000, 0.6386, 0.5000) (multiplicity 3)

Output
magnetization	0.061	μB per cell
electronic total energy	-3.658	eV per atom


Here is DySi2TcPd after structural relaxation from the Open Quantum Materials Database. Energies are from PBE.

abc: 4.138 4.138 9.938
angles: 90.00 90.00 90.00
Space group I-4m2 (No. 119)
Inequivalent atoms, fractional coordinates:
Dy (0.000, 0.000, 0.000) (multiplicity 2)
Si (0.000, 0.000, 0.377) (multiplicity 4)
Tc (0.000, 0.500, 0.250) (multiplicity 2)
Pd (0.000, 0.500, 0.750) (multiplicity 2)

Output
magnetization	0.013	μB per cell
electronic total energy	-7.020	eV per atom


Here is LuBeTcMo after structural relaxation from the Open Quantum Materials Database. Energies are from PBE.

abc: 6.309 6.309 6.309
angles: 90.00 90.00 90.00
Space group F-43m (No. 216)
Inequivalent atoms, fractional coordinates:
Lu (0.000, 0.000, 0.000) (multiplicity 4)
Be (0.250, 0.250, 0.250) (multiplicity 4)
Tc (0.000, 0.000, 0.500) (multiplicity 4)
Mo (0.250, 0.250, 0.750) (multiplicity 4)

Output
magnetization	0.002	μB per cell
electronic total energy	-7.286	eV per atom


Here is CsThGa after structural relaxation from the Open Quantum Materials Database. Energies are from PBE.

abc: 7.348 7.348 7.348
angles: 90.00 90.00 90.00
Space group F-43m (No. 216)
Inequivalent atoms, fractional coordinates:
Cs (0.000, 0.000, 0.000) (multiplicity 4)
Th (0.250, 0.250, 0.250) (multiplicity 4)
Ga (0.250, 0.250, 0.750) (multiplicity 4)

Output
magnetization	0.003	μB per cell
electronic total energy	-2.588	eV per atom


Here is ScUZn after structural relaxation from the Open Quantum Materials Database. Energies are from PBE.

abc: 6.707 6.707 6.707
angles: 90.00 90.00 90.00
Space group F-43m (No. 216)
Inequivalent atoms, fractional coordinates:
Sc (0.000, 0.000, 0.000) (multiplicity 4)
U (0.250, 0.250, 0.250) (multiplicity 4)
Zn (0.000, 0.000, 0.500) (multiplicity 4)

Output
magnetization	12.775	μB per cell
ΔH_f (0 K)	1091	meV/atom


Here is ScHg2Os after structural relaxation from the Open Quantum Materials Database. Energies are from PBE.

abc: 6.710 6.710 6.710
angles: 90.00 90.00 90.00
Space group F-43m (No. 216)
Inequivalent atoms, fractional coordinates:
Sc (0.000, 0.000, 0.000) (multiplicity 4)
Hg (0.000, 0.000, 0.500) (multiplicity 4)
Hg (0.250, 0.250, 0.250) (multiplicity 4)
Os (0.250, 0.250, 0.750) (multiplicity 4)

Output
magnetization	0.026	μB per cell
ΔH_f (0 K)	286	meV/atom


Here is MgZrGaIr after structural relaxation from the Open Quantum Materials Database. Energies are from PBE.

abc: 6.514 6.514 6.514
angles: 90.00 90.00 90.00
Space group F-43m (No. 216)
Inequivalent atoms, fractional coordinates:
Mg (0.000, 0.000, 0.000) (multiplicity 4)
Zr (0.000, 0.000, 0.500) (multiplicity 4)
Ga (0.250, 0.250, 0.750) (multiplicity 4)
Ir (0.250, 0.250, 0.250) (multiplicity 4)

Output
magnetization	0.009	μB per cell
electronic total energy	-6.057	eV per atom


Here is LaPrBC2 after structural relaxation from the Open Quantum Materials Database. Energies are from PBE.

abc: 5.503 5.502 6.178
angles: 90.00 115.32 90.00
Space group Cm (No. 8)
Inequivalent atoms, fractional coordinates:
La (0.000, 0.000, 0.000) (multiplicity 2)
Pr (0.204, 0.500, 0.423) (multiplicity 2)
B (0.355, 0.000, 0.716) (multiplicity 2)
C (0.219, 0.000, 0.450) (multiplicity 2)
C (0.490, 0.000, 0.982) (multiplicity 2)

Output
magnetization	0.005	μB per cell
electronic total energy	-7.246	eV per atom


Here is Gd3Er2Mg3 after structural relaxation from the Open Quantum Materials Database. Energies are from PBE.

abc: 6.855 5.520 6.879
angles: 90.00 118.56 90.00
Space group Pm (No. 6)
Inequivalent atoms, fractional coordinates:
Gd (0.000, 0.000, 0.000) (multiplicity 1)
Gd (0.018, 0.000, 0.497) (multiplicity 1)
Gd (0.685, 0.500, 0.309) (multiplicity 1)
Er (0.188, 0.500, 0.820) (multiplicity 1)
Er (0.507, 0.000, 0.494) (multiplicity 1)
Mg (0.188, 0.500, 0.322) (multiplicity 1)
Mg (0.502, 0.000, 0.995) (multiplicity 1)
Mg (0.676, 0.500, 0.812) (multiplicity 1)

Output
magnetization	0.024	μB per cell
electronic total energy	-3.463	eV per atom


Here is Hf2TaSi after structural relaxation from the Open Quantum Materials Database. Energies are from PBE.

abc: 6.632 6.632 6.632
angles: 90.00 90.00 90.00
Space group F-43m (No. 216)
Inequivalent atoms, fractional coordinates:
Hf (0.000, 0.000, 0.000) (multiplicity 4)
Hf (0.250, 0.250, 0.250) (multiplicity 4)
Ta (0.250, 0.250, 0.750) (multiplicity 4)
Si (0.000, 0.000, 0.500) (multiplicity 4)

Output
magnetization	1.192	μB per cell
electronic total energy	-9.257	eV per atom


Here is Gd3Mg3In2Ga after structural relaxation from the Open Quantum Materials Database. Energies are from PBE.

abc: 7.5616 7.5616 4.5640
angles: 90.00 90.00 120.00
Space group P-62m (No. 189)
Inequivalent atoms, fractional coordinates:
Gd (0.0000, 0.4158, 0.0000) (multiplicity 3)
Mg (0.0000, 0.7630, 0.5000) (multiplicity 3)
In (0.3333, 0.6667, 0.5000) (multiplicity 2)
Ga (0.0000, 0.0000, 0.0000) (multiplicity 1)

Output
magnetization	0.008	μB per cell
electronic total energy	-3.437	eV per atom


Here is KRb2Au2 after structural relaxation from the Open Quantum Materials Database. Energies are from PBE.

abc: 5.083 7.597 10.389
angles: 90.00 90.00 90.00
Space group Immm (No. 71)
Inequivalent atoms, fractional coordinates:
K (0.000, 0.000, 0.000) (multiplicity 2)
Rb (0.000, 0.500, 0.203) (multiplicity 4)
Au (0.000, 0.192, 0.500) (multiplicity 4)

Output
electronic total energy	-2.175	eV per atom


Here is ErLuInCo2 after structural relaxation from the Open Quantum Materials Database. Energies are from PBE.

abc: 3.789 3.760 13.773
angles: 90.00 90.00 90.00
Space group Amm2 (No. 38)
Inequivalent atoms, fractional coordinates:
Er (0.000, 0.000, 0.000) (multiplicity 2)
Lu (0.000, 0.000, 0.720) (multiplicity 2)
In (0.500, 0.000, 0.359) (multiplicity 2)
Co (0.500, 0.000, 0.157) (multiplicity 2)
Co (0.500, 0.000, 0.565) (multiplicity 2)

Output
magnetization	2.430	μB per cell
electronic total energy	-5.573	eV per atom


Here is GdTlSnS3 after structural relaxation from the Open Quantum Materials Database. Energies are from PBE.

abc: 4.032 16.654 10.922
angles: 90.00 90.00 90.00
Space group Cmcm (No. 63)
Inequivalent atoms, fractional coordinates:
Gd (0.000, 0.000, 0.000) (multiplicity 4)
Tl (0.000, 0.307, 0.250) (multiplicity 4)
Sn (0.000, 0.369, 0.750) (multiplicity 4)
S (0.000, 0.027, 0.250) (multiplicity 4)
S (0.000, 0.387, 0.008) (multiplicity 8)

Output
magnetization	0.011	μB per cell
electronic total energy	-4.933	eV per atom


Here is Nb2Sn3Mo4C3 after structural relaxation from the Open Quantum Materials Database. Energies are from PBE.

abc: 9.668 5.579 14.000
angles: 90.00 103.30 90.00
Space group C2/c (No. 15)
Inequivalent atoms, fractional coordinates:
Nb (0.055, 0.084, 0.413) (multiplicity 8)
Sn (0.000, 0.433, 0.250) (multiplicity 4)
Sn (0.174, 0.090, 0.749) (multiplicity 8)
Mo (0.110, 0.418, 0.580) (multiplicity 8)
Mo (0.223, 0.416, 0.921) (multiplicity 8)
C (0.083, 0.250, 0.000) (multiplicity 8)
C (0.250, 0.250, 0.500) (multiplicity 4)

Output
magnetization	0.008	μB per cell
electronic total energy	-8.732	eV per atom


Here is PmDyGa3 after structural relaxation from the Open Quantum Materials Database. Energies are from PBE.

abc: 4.263 25.686 4.190
angles: 90.00 90.00 90.00
Space group Cmcm (No. 63)
Inequivalent atoms, fractional coordinates:
Pm (0.000, 0.073, 0.250) (multiplicity 4)
Dy (0.000, 0.204, 0.750) (multiplicity 4)
Ga (0.000, 0.323, 0.750) (multiplicity 4)
Ga (0.000, 0.380, 0.250) (multiplicity 4)
Ga (0.000, 0.476, 0.250) (multiplicity 4)

Output
magnetization	0.000	μB per cell
electronic total energy	-4.353	eV per atom


Here is DySbN2O after structural relaxation from the Open Quantum Materials Database. Energies are from PBE.

abc: 5.682 8.082 5.488
angles: 90.00 90.00 90.00
Space group Pnma (No. 62)
Inequivalent atoms, fractional coordinates:
Dy (0.061, 0.250, 0.026) (multiplicity 4)
Sb (0.000, 0.000, 0.500) (multiplicity 4)
N (0.200, 0.562, 0.802) (multiplicity 8)
O (0.041, 0.750, 0.379) (multiplicity 4)

Output
magnetization	0.003	μB per cell
electronic total energy	-7.053	eV per atom